Entry 1:
Crystalline Nb2ReIrPd at its relaxed geometry, computed with PBE.

It has space group P4/mmm (No. 123), with a = 4.7228 Å, b = 4.7228 Å, c = 4.6473 Å, α = 90.00°, β = 90.00° and γ = 90.00°. Symmetry generates all atoms from Nb at (0.0000, 0.5000, 0.0000), Re at (0.0000, 0.0000, 0.5000), Ir at (0.5000, 0.5000, 0.5000) and Pd at (0.0000, 0.0000, 0.0000).

The size of the total moment is 0.0 μB/f.u. Its energy relative to the elements is 1825.0 meV per atom.

---

Entry 2:
Crystalline AcYGaAg at its relaxed geometry, computed with PBE.

It has space group F-43m (No. 216), with a = 7.6076 Å, b = 7.6076 Å, c = 7.6076 Å, α = 90.00°, β = 90.00° and γ = 90.00°. Symmetry generates all atoms from Ac at (0.0000, 0.0000, 0.0000), Y at (0.0000, 0.0000, 0.5000), Ga at (0.2500, 0.2500, 0.2500) and Ag at (0.2500, 0.2500, 0.7500).

The size of the total moment is 0.0 μB/f.u. Its energy relative to the elements is -366.6 meV per atom.

---

Entry 3:
Crystalline InCuPdC2 at its relaxed geometry, computed with PBE.

It has space group P4/mmm (No. 123), with a = 3.9848 Å, b = 3.9848 Å, c = 4.9529 Å, α = 90.00°, β = 90.00° and γ = 90.00°. Symmetry generates all atoms from In at (0.0000, 0.0000, 0.0000), Cu at (0.5000, 0.5000, 0.0000), Pd at (0.5000, 0.5000, 0.5000) and C at (0.0000, 0.5000, 0.5000).

The size of the total moment is 0.0 μB/f.u. Its energy relative to the elements is 1662.3 meV per atom.

---

Entry 4:
Crystalline La3CdPt8 at its relaxed geometry, computed with PBE.

It has space group R3m (No. 160, hexagonal axes), with a = 5.5129 Å, b = 5.5129 Å, c = 27.0675 Å, α = 90.00°, β = 90.00° and γ = 120.00°. Symmetry generates all atoms from La at (0.0000, 0.0000, 0.0000), La at (0.0000, 0.0000, 0.1285), La at (0.0000, 0.0000, 0.6158), Cd at (0.0000, 0.0000, 0.4933), Pt at (0.0000, 0.0000, 0.3107), Pt at (0.0000, 0.0000, 0.8110), Pt at (0.0000, 0.5000, 0.0604) and Pt at (0.0026, 0.5013, 0.5609).

The size of the total moment is 0.0 μB/f.u. Its energy relative to the elements is -988.1 meV per atom.

---

Entry 5:
Crystalline Ba2CrCu at its relaxed geometry, computed with PBE.

It has space group I-4m2 (No. 119), with a = 4.7556 Å, b = 4.7556 Å, c = 11.7229 Å, α = 90.00°, β = 90.00° and γ = 90.00°. Symmetry generates all atoms from Ba at (0.0000, 0.0000, 0.0000), Ba at (0.0000, 0.5000, 0.2500), Cr at (0.0000, 0.5000, 0.7500) and Cu at (0.0000, 0.0000, 0.5000).

For the relative energy among the computed polymorphs, the calculation gives 0.247 eV/atom. The size of the total moment is 4.2 μB/f.u. Its energy relative to the elements is 601.7 meV per atom.

---

Entry 6:
Crystalline K2VCl7 at its relaxed geometry, computed with PBE.

It has space group C2/c (No. 15), with a = 16.5014 Å, b = 7.6373 Å, c = 11.7677 Å, α = 90.00°, β = 128.92° and γ = 90.00°. Symmetry generates all atoms from K at (0.1253, 0.1579, 0.0381), V at (0.0000, 0.2866, 0.2500), Cl at (0.0000, 0.3956, 0.7500), Cl at (0.0858, 0.2812, 0.4934), Cl at (0.0973, 0.0223, 0.2683) and Cl at (0.1576, 0.3883, 0.2947).

The total energy comes out at -0.26938 Ry per atom. The size of the total moment is 0.0 μB/f.u.

---

Entry 7:
Crystalline PaGaBr6 at its relaxed geometry, computed with PBE.

It has space group C2/m (No. 12), with a = 7.3973 Å, b = 12.9480 Å, c = 7.3153 Å, α = 90.00°, β = 106.47° and γ = 90.00°. Symmetry generates all atoms from Pa at (0.0000, 0.0000, 0.0000), Ga at (0.0000, 0.5000, 0.5000), Br at (0.2178, 0.1461, 0.2296) and Br at (0.2376, 0.0000, 0.7775).

For the relative energy among the computed polymorphs, the calculation gives 0.000 eV/atom. The size of the total moment is 0.0 μB/f.u.

---

Entry 8:
Crystalline Ho3Er4Zn4 at its relaxed geometry, computed with PBE.

It has space group Immm (No. 71), with a = 5.0546 Å, b = 6.8899 Å, c = 15.9974 Å, α = 90.00°, β = 90.00° and γ = 90.00°. Symmetry generates all atoms from Ho at (0.0000, 0.0000, 0.0000), Ho at (0.0000, 0.5000, 0.1020), Er at (0.0000, 0.2674, 0.3208), Zn at (0.0000, 0.0000, 0.1823) and Zn at (0.0000, 0.1855, 0.5000).

The size of the total moment is 0.0 μB/f.u. Its energy relative to the elements is -132.6 meV per atom.